# BaNiP2O8 (GGA+U, optimized geometry)
data_BaNiP2O8
_symmetry_space_group_name_H-M 'P 1'
_symmetry_Int_Tables_number 1
_cell_length_a 5.012
_cell_length_b 5.012
_cell_length_c 7.572
_cell_angle_alpha 90.00
_cell_angle_beta 90.00
_cell_angle_gamma 120.00
loop_
_symmetry_equiv_pos_as_xyz
'x,y,z'
loop_
_atom_site_label
_atom_site_type_symbol
_atom_site_fract_x
_atom_site_fract_y
_atom_site_fract_z
_atom_site_occupancy
Ba1 Ba 0.000 0.000 0.000 1
Ni1 Ni 0.000 0.000 0.500 1
P1 P 0.333 0.667 0.718 1
P2 P 0.667 0.333 0.282 1
O1 O 0.077 0.344 0.659 1
O2 O 0.267 0.923 0.659 1
O3 O 0.333 0.667 0.923 1
O4 O 0.344 0.267 0.341 1
O5 O 0.656 0.733 0.659 1
O6 O 0.667 0.333 0.077 1
O7 O 0.733 0.077 0.341 1
O8 O 0.923 0.656 0.341 1
# Spin magnetization (μB per formula unit): 4.04
# Total DFT energy (no corrections) (eV/atom): -6.535
# Space-group type: P-3 (147)